1.
TbNdTl2Se4: optimized geometry, PBE.

Cell lengths 4.2659, 7.3907, 8.1419 Å; angles 107.58, 90.00, 90.00 degrees
Last column: nearest neighbours and their distance in Å.
Fractional positions:
Se 0.5000 0.2291 0.2064  2 Tb 2.92, 1 Nd 2.98
Se 0.5000 0.7709 0.7936  2 Tb 2.92, 1 Nd 2.98
Se 0.0000 0.2571 0.7906  1 Tb 2.91, 2 Nd 2.97
Se 0.0000 0.7429 0.2094  1 Tb 2.91, 2 Nd 2.97
Tl 0.5000 0.0000 0.5000  6 Se 3.32
Tl 0.0000 0.5000 0.5000  6 Se 3.37
Nd 0.5000 0.5000 0.0000  6 Se 2.97-2.98
Tb 0.0000 0.0000 0.0000  6 Se 2.91-2.92

Results
**Volume**: 30.6 Å³ per atom
**Uncorrected formation energy**: -1.382 eV per atom
**Symmetry**: No. 10

2.
Tb2NdTmSe6: optimized geometry, PBE.

Cell lengths 7.2715, 7.2716, 7.7468 Å; angles 62.00, 62.00, 59.99 degrees
Last column: nearest neighbours and their distance in Å.
Fractional positions:
Nd 0.3138 0.3137 0.0586  6 Se 2.92-3.02
Tb 0.0165 0.0165 0.9506  6 Se 2.86-2.92
Tb 0.5127 0.5126 0.4621  6 Se 2.85-2.92
Tm 0.8193 0.8193 0.5421  6 Se 2.83-2.87
Se 0.7238 0.1053 0.7485  1 Tm 2.83, 2 Tb 2.86-2.92, 1 Nd 3.02
Se 0.9029 0.6253 0.2522  2 Tb 2.85-2.92, 1 Tm 2.87, 1 Nd 2.92
Se 0.1054 0.4224 0.7485  1 Tm 2.83, 2 Tb 2.86-2.92, 1 Nd 3.02
Se 0.2197 0.9028 0.2521  2 Tb 2.85-2.92, 1 Tm 2.87, 1 Nd 2.92
Se 0.6252 0.2197 0.2522  2 Tb 2.85-2.92, 1 Tm 2.87, 1 Nd 2.92
Se 0.4223 0.7238 0.7484  1 Tm 2.83, 2 Tb 2.86-2.92, 1 Nd 3.02

Results
**Volume**: 29.8 Å³ per atom
**Uncorrected formation energy**: -1.843 eV per atom
**Symmetry**: No. 146

3.
Tb3Nd2TmSe6: optimized geometry, PBE.

Cell lengths 4.1073, 8.3076, 9.2245 Å; angles 102.79, 102.86, 90.00 degrees
Last column: nearest neighbours and their distance in Å.
Fractional positions:
Se 0.9963 0.2422 0.9926  2 Tm 2.89, 3 Tb 2.95-2.96, 1 Nd 3.04
Se 0.3377 0.4099 0.6754  3 Tb 2.84-2.86, 3 Nd 2.95-2.96
Se 0.0037 0.7578 0.0074  2 Tm 2.89, 3 Tb 2.95-2.96, 1 Nd 3.04
Se 0.3380 0.9269 0.6760  1 Tm 2.84, 3 Tb 2.89-2.91, 2 Nd 2.99
Se 0.6620 0.0731 0.3240  1 Tm 2.84, 3 Tb 2.89-2.91, 2 Nd 2.99
Se 0.6623 0.5901 0.3246  3 Tb 2.84-2.86, 3 Nd 2.95-2.96
Tm 0.5000 0.0000 0.0000  6 Se 2.84-2.89
Tb 0.5000 0.5000 0.0000  6 Se 2.84-2.96
Tb 0.1721 0.8343 0.3441  6 Se 2.86-2.95
Tb 0.8279 0.1657 0.6559  6 Se 2.86-2.95
Nd 0.1696 0.3373 0.3392  6 Se 2.95-3.04
Nd 0.8304 0.6627 0.6608  6 Se 2.95-3.04

Results
**Volume**: 24.9 Å³ per atom
**Uncorrected formation energy**: -1.775 eV per atom
**Symmetry**: No. 12